Computed, not measured: crystalline PrSmBi at its relaxed geometry at the GGA-PBE level of DFT. Values from VASP.

Computed properties:
DFT total energy = -4.767 eV/atom
Density = 8.2 g/cm³
Formation energy = -30 kJ per mole of atoms

```
&SYSTEM
  ibrav = 0, nat = 3, ntyp = 3
/
ATOMIC_SPECIES
Pr 140.91 Pr.upf
Sm 150.36 Sm.upf
Bi 208.98 Bi.upf
ATOMIC_POSITIONS crystal
Pr 0.710 0.333 0.667
Sm 0.236 0.667 0.333
Bi 0.054 0.000 0.000
CELL_PARAMETERS angstrom
-0.376 -2.692 3.156
0.047 -4.045 -3.446
4.560 1.784 2.066
```

---

Computed, not measured: crystalline Pr3Sm4Bi4 at its relaxed geometry at the GGA-PBE level of DFT. Values from VASP.

Computed properties:
DFT total energy = -4.991 eV/atom
Density = 8.3 g/cm³
Formation energy = -54 kJ per mole of atoms

```
&SYSTEM
  ibrav = 0, nat = 11, ntyp = 3
/
ATOMIC_SPECIES
Bi 208.98 Bi.upf
Sm 150.36 Sm.upf
Pr 140.91 Pr.upf
ATOMIC_POSITIONS crystal
Bi 0.730 0.460 0.780
Bi 0.947 0.893 0.000
Bi 0.730 0.460 0.220
Bi 0.992 0.984 0.500
Sm 0.662 0.325 0.500
Sm 0.062 0.123 0.242
Sm 0.062 0.123 0.758
Sm 0.594 0.188 0.000
Pr 0.364 0.729 0.354
Pr 0.364 0.729 0.646
Pr 0.291 0.582 0.000
CELL_PARAMETERS angstrom
-0.372 -0.998 -4.321
6.480 -2.851 2.392
-5.461 -10.069 2.795
```

---

Computed, not measured: crystalline Pr2SmBi at its relaxed geometry at the GGA-PBE level of DFT. Values from VASP.

Computed properties:
DFT total energy = -4.754 eV/atom
Density = 7.1 g/cm³
Formation energy = -21 kJ per mole of atoms

```
&SYSTEM
  ibrav = 0, nat = 4, ntyp = 3
/
ATOMIC_SPECIES
Pr 140.91 Pr.upf
Sm 150.36 Sm.upf
Bi 208.98 Bi.upf
ATOMIC_POSITIONS crystal
Pr 0.263 0.263 0.212
Pr 0.071 0.071 0.787
Sm 0.500 0.500 0.500
Bi 0.667 0.667 0.000
CELL_PARAMETERS angstrom
4.192 0.000 0.000
2.096 3.630 0.000
2.096 1.210 9.798
```

---

Computed, not measured: crystalline PrSm2Bi at its relaxed geometry at the GGA-PBE level of DFT. Values from VASP.

Computed properties:
DFT total energy = -4.986 eV/atom
Density = 8.2 g/cm³
Formation energy = -45 kJ per mole of atoms

```
&SYSTEM
  ibrav = 0, nat = 8, ntyp = 3
/
ATOMIC_SPECIES
Bi 208.98 Bi.upf
Sm 150.36 Sm.upf
Pr 140.91 Pr.upf
ATOMIC_POSITIONS crystal
Bi 0.167 0.250 0.333
Bi 0.833 0.750 0.667
Sm 0.562 0.250 0.124
Sm 0.438 0.750 0.876
Sm 0.058 0.750 0.117
Sm 0.942 0.250 0.883
Pr 0.306 0.250 0.612
Pr 0.694 0.750 0.388
CELL_PARAMETERS angstrom
4.740 0.000 -0.021
0.000 4.696 0.000
-2.317 0.000 11.898
```

---

| no. | DOS(E_F) (states/eV per cell) |
| --- | --- |
| 1 | 3.230 |
| 2 | 12.234 |
| 3 | 5.259 |
| 4 | 10.740 |